Compound: HOs3Pb
Source: Alexandria
Functional: GGA-PBE
Structure: relaxed

abc: 4.0880 4.0880 4.0880
angles: 90.00 90.00 90.00
Closest atoms and distances in Å follow each position.
Space group Pm-3m (No. 221)
Unique sites:
H (0.0000, 0.0000, 0.0000) x1  6 Os 2.04
Os (0.0000, 0.0000, 0.5000) x3  2 H 2.04
Pb (0.5000, 0.5000, 0.5000) x1  12 Os 2.89

Properties
M_tot: 1.7 Bohr magnetons per cell
excess energy over the best structure of this formula in the dataset: 0.0 meV/atom